{
  "formula": "PrSm3H8",
  "functional": "PBE-GGA",
  "state": "optimized geometry",
  "lattice": [[5.406, 0.000, 0.000], [0.000, 5.406, 0.000], [0.000, 0.000, 5.406]],
  "species": ["H", "Sm", "H", "H", "H", "Pr", "H", "H", "H", "Sm", "Sm", "H"],
  "frac_coords": [[0.254, 0.746, 0.746], [0.500, 0.500, 0.000], [0.254, 0.254, 0.254], [0.254, 0.254, 0.746], [0.746, 0.254, 0.746], [0.000, 0.000, 0.000], [0.746, 0.746, 0.254], [0.746, 0.746, 0.746], [0.746, 0.254, 0.254], [0.500, 0.000, 0.500], [0.000, 0.500, 0.500], [0.254, 0.746, 0.254]],
  "volume_a3_per_atom": 13.17,
  "e_tot_ev_per_atom": -4.4820
}